# 1
A PBEsol-optimized structure of BaIrIO2, computed with SCAN.

It has space group P4/mmm (No. 123), with a = 4.3585 Å, b = 4.3585 Å, c = 5.1905 Å, α = 90.00°, β = 90.00° and γ = 90.00°. Symmetry generates all atoms from Ba at (0.0000, 0.0000, 0.0000), Ir at (0.5000, 0.5000, 0.5000), I at (0.5000, 0.5000, 0.0000) and O at (0.0000, 0.5000, 0.5000).

Its formation energy (no corrections) is -640 meV per atom.

=====

# 2
A PBEsol-optimized structure of Zn3AsPt, computed with SCAN.

It has space group Pm-3m (No. 221), with a = 4.7083 Å, b = 4.7083 Å, c = 4.7083 Å, α = 90.00°, β = 90.00° and γ = 90.00°. Symmetry generates all atoms from Zn at (0.0000, 0.0000, 0.5000), As at (0.5000, 0.5000, 0.5000) and Pt at (0.0000, 0.0000, 0.0000).

Its energy above the most stable polymorph in this dataset is 0.000 eV/atom.

=====

# 3
A PBEsol-optimized structure of LaGdCl2O2, computed with SCAN.

It has space group P4mm (No. 99), with a = 3.9878 Å, b = 3.9878 Å, c = 6.7449 Å, α = 90.00°, β = 90.00° and γ = 90.00°. Symmetry generates all atoms from La at (0.0000, 0.0000, 0.0000), Gd at (0.5000, 0.5000, 0.6508), Cl at (0.0000, 0.0000, 0.4551), Cl at (0.5000, 0.5000, 0.1982) and O at (0.0000, 0.5000, 0.8152).

Its formation energy (no corrections) is -3411 meV per atom.

=====

# 4
A PBEsol-optimized structure of TeOs2W, computed with SCAN.

It has space group R-3m (No. 166, hexagonal axes), with a = 2.9312 Å, b = 2.9312 Å, c = 26.1300 Å, α = 90.00°, β = 90.00° and γ = 120.00°. Symmetry generates all atoms from Te at (0.0000, 0.0000, 0.0000), Os at (0.0000, 0.0000, 0.2470) and W at (0.0000, 0.0000, 0.5000).

Its formation energy (no corrections) is 628 meV per atom.

=====

# 5
A PBEsol-optimized structure of Cr2CdRh, computed with SCAN.

It has space group Cmmm (No. 65), with a = 5.1787 Å, b = 7.9778 Å, c = 2.6358 Å, α = 90.00°, β = 90.00° and γ = 90.00°. Symmetry generates all atoms from Cr at (0.2500, 0.2500, 0.0000), Cd at (0.0000, 0.0000, 0.5000) and Rh at (0.0000, 0.5000, 0.5000).

Its raw total energy is -0.91176 Ha/atom.

=====

# 6
A PBEsol-optimized structure of AgRhAu2, computed with SCAN.

It has space group R-3m (No. 166, hexagonal axes), with a = 2.8125 Å, b = 2.8125 Å, c = 27.8047 Å, α = 90.00°, β = 90.00° and γ = 120.00°. Symmetry generates all atoms from Ag at (0.0000, 0.0000, 0.0000), Rh at (0.0000, 0.0000, 0.5000) and Au at (0.0000, 0.0000, 0.2481).

Its energy above the most stable polymorph in this dataset is 0.000 eV/atom.